Entry 1:
CsP2F: single point on PBEsol structure, meta-GGA SCAN.

```
CsP2F
1.0
-2.068 2.068 13.179
2.068 -2.068 13.179
2.068 2.068 -13.179
Cs P F
2 4 2
Direct
0.375 0.625 0.750
0.625 0.375 0.250
0.000 0.000 0.000
0.000 0.000 0.500
0.000 0.500 0.000
0.500 0.000 0.500
0.125 0.875 0.250
0.875 0.125 0.750
```

SG   I4_1/amd, No. 141

---

Entry 2:
TcMo2PPb: single point on PBEsol structure, meta-GGA SCAN.

```
TcMo2PPb
1.0
4.656 0.000 0.000
0.000 4.656 0.000
0.000 0.000 5.097
Tc Mo P Pb
1 2 1 1
Direct
0.000 0.000 0.000
0.000 0.500 0.000
0.500 0.000 0.000
0.500 0.500 0.500
0.000 0.000 0.500
```

SG   P4/mmm, No. 123
Formation energy   1.569 eV per atom

---

Final energy list, top to bottom, in eV/atom: -16.2297; -36.6326